VASP calculation (PBE-GGA) on a relaxed RbCd4In2 crystal. Values from VASP.

Output
- size of the total moment (μB per formula unit) = 0.0
- electronic total energy (Ha/atom) = -0.055
- ΔE to the lowest computed polymorph (meV per atom) = 0
- E_form (eV per atom) = -0.043
- D(E_F) (states/eV per atom) = 0.37

Cell and atoms, written as Quantum ESPRESSO input:
```
&SYSTEM
  ibrav = 0, nat = 7, ntyp = 3
/
ATOMIC_SPECIES
Rb 85.47 Rb.upf
Cd 112.41 Cd.upf
In 114.82 In.upf
ATOMIC_POSITIONS angstrom
Rb 0.0000 0.0000 0.0000
Cd 2.4161 5.2654 2.4392
Cd 2.4161 3.2379 0.0000
Cd 2.4161 -3.2379 0.0000
Cd 2.4161 -5.2654 2.4392
In 2.4161 1.5194 2.4392
In 2.4161 -1.5194 2.4392
CELL_PARAMETERS angstrom
2.4161 -8.4986 0.0000
2.4161 8.4986 0.0000
0.0000 0.0000 4.8784
```



VASP calculation (PBE-GGA) on a relaxed Zr3Fe8Re crystal. Values from VASP.

Output
- size of the total moment (μB per formula unit) = 14.3
- electronic total energy (Ha/atom) = -0.330
- E_form (eV per atom) = -0.169
- D(E_F) (states/eV per atom) = 1.01

Cell and atoms, written as Quantum ESPRESSO input:
```
&SYSTEM
  ibrav = 0, nat = 12, ntyp = 3
/
ATOMIC_SPECIES
Zr 91.22 Zr.upf
Fe 55.84 Fe.upf
Re 186.21 Re.upf
ATOMIC_POSITIONS angstrom
Zr 0.0000 0.0000 0.0000
Zr 0.0000 0.0000 3.0908
Zr 0.0000 0.0000 12.2607
Fe -1.2342 -0.7126 9.6091
Fe 0.0000 -1.4081 5.6400
Fe -1.2194 0.7040 5.6400
Fe 0.0000 0.0000 7.6075
Fe 1.2194 0.7040 5.6399
Fe 1.2342 -0.7126 9.6091
Fe 0.0000 1.4252 9.6091
Fe 0.0000 0.0000 19.6929
Re 0.0000 0.0000 15.2060
CELL_PARAMETERS angstrom
2.4535 1.4165 8.0381
-2.4535 1.4165 8.0381
0.0000 -2.8330 8.0381
```



VASP calculation (PBE-GGA) on a relaxed PmGaGe2Ru2 crystal. Values from VASP.

Output
- size of the total moment (μB per formula unit) = 0.6
- electronic total energy (Ha/atom) = -0.222
- E_form (eV per atom) = -0.120
- D(E_F) (states/eV per atom) = 1.03

Cell and atoms, written as Quantum ESPRESSO input:
```
&SYSTEM
  ibrav = 0, nat = 6, ntyp = 4
/
ATOMIC_SPECIES
Pm 145.00 Pm.upf
Ga 69.72 Ga.upf
Ge 72.64 Ge.upf
Ru 101.07 Ru.upf
ATOMIC_POSITIONS angstrom
Pm 0.0000 0.0000 0.0000
Ga 0.0000 0.0000 2.7967
Ge 2.2794 2.2794 1.3172
Ge 2.2794 2.2794 4.2762
Ru 0.0000 2.2794 2.7967
Ru 2.2794 0.0000 2.7967
CELL_PARAMETERS angstrom
4.5587 0.0000 0.0000
0.0000 4.5587 0.0000
0.0000 0.0000 5.5934
```



VASP calculation (PBE-GGA) on a relaxed ErBePd3 crystal. Values from VASP.

Output
- size of the total moment (μB per formula unit) = 0.0
- electronic total energy (Ha/atom) = -0.201
- ΔE to the lowest computed polymorph (meV per atom) = 60
- E_form (eV per atom) = -0.699
- D(E_F) (states/eV per atom) = 0.57

Cell and atoms, written as Quantum ESPRESSO input:
```
&SYSTEM
  ibrav = 0, nat = 5, ntyp = 3
/
ATOMIC_SPECIES
Er 167.26 Er.upf
Be 9.01 Be.upf
Pd 106.42 Pd.upf
ATOMIC_POSITIONS angstrom
Er 0.0000 0.0000 0.0000
Be 2.1734 2.1734 2.1734
Pd 0.0000 2.1734 2.1734
Pd 2.1734 0.0000 2.1734
Pd 2.1734 2.1734 0.0000
CELL_PARAMETERS angstrom
4.3468 0.0000 0.0000
0.0000 4.3468 0.0000
0.0000 0.0000 4.3468
```



VASP calculation (PBE-GGA) on a relaxed AcTb2Au3 crystal. Values from VASP.

Output
- size of the total moment (μB per formula unit) = 0.0
- electronic total energy (Ha/atom) = -0.172
- E_form (eV per atom) = -0.813
- D(E_F) (states/eV per atom) = 0.49

Cell and atoms, written as Quantum ESPRESSO input:
```
&SYSTEM
  ibrav = 0, nat = 6, ntyp = 3
/
ATOMIC_SPECIES
Ac 227.00 Ac.upf
Tb 158.93 Tb.upf
Au 196.97 Au.upf
ATOMIC_POSITIONS angstrom
Ac 0.0000 0.0000 0.0000
Tb 0.0000 0.0000 3.8247
Tb 0.0000 0.0000 7.3934
Au 1.8470 1.8470 2.1882
Au 1.8470 1.8470 5.6090
Au 1.8470 1.8470 9.0299
CELL_PARAMETERS angstrom
3.6940 0.0000 0.0000
0.0000 3.6940 0.0000
0.0000 0.0000 11.2181
```



VASP calculation (PBE-GGA) on a relaxed Li2H5W crystal. Values from VASP.

Output
- size of the total moment (μB per formula unit) = 0.0
- electronic total energy (Ha/atom) = -0.157
- D(E_F) (states/eV per atom) = 0.28

Cell and atoms, written as Quantum ESPRESSO input:
```
&SYSTEM
  ibrav = 0, nat = 8, ntyp = 3
/
ATOMIC_SPECIES
Li 6.94 Li.upf
H 1.01 H.upf
W 183.84 W.upf
ATOMIC_POSITIONS angstrom
Li 2.3614 2.7772 0.0000
Li 2.3614 -2.7772 0.0000
H 0.6301 0.0000 1.4595
H 1.3685 0.0000 2.9291
H 3.1813 1.6159 1.4698
H 3.5833 0.0000 0.0014
H 3.1813 -1.6159 1.4698
W 2.4269 0.0000 1.4662
CELL_PARAMETERS angstrom
2.3614 -4.2901 0.0000
2.3614 4.2901 0.0000
-0.0080 0.0000 2.9300
```



VASP calculation (PBE-GGA) on a relaxed La4NdDy3 crystal. Values from VASP.

Output
- size of the total moment (μB per formula unit) = 0.0
- electronic total energy (Ha/atom) = -0.175
- ΔE to the lowest computed polymorph (meV per atom) = 0
- E_form (eV per atom) = 0.033
- D(E_F) (states/eV per atom) = 1.71

Cell and atoms, written as Quantum ESPRESSO input:
```
&SYSTEM
  ibrav = 0, nat = 16, ntyp = 3
/
ATOMIC_SPECIES
La 138.91 La.upf
Nd 144.24 Nd.upf
Dy 162.50 Dy.upf
ATOMIC_POSITIONS angstrom
La 0.0000 0.9440 0.0000
La 0.0000 6.4263 3.3122
La 2.8738 0.9219 2.1501
La 3.0193 6.4637 5.3587
La 5.8931 0.9593 0.1036
La 5.8931 6.4415 3.2086
La 8.7669 6.4637 5.3587
La 8.9125 0.9219 2.1501
Nd 0.0000 4.6192 0.0443
Nd 5.8931 2.7664 3.2529
Dy 0.0000 2.8100 3.2401
Dy 2.9438 2.8033 5.3658
Dy 2.9493 4.5822 2.1572
Dy 5.8931 4.5756 0.0316
Dy 8.8424 2.8033 5.3658
Dy 8.8369 4.5822 2.1572
CELL_PARAMETERS angstrom
11.7862 0.0000 0.0000
0.0000 7.3855 0.0000
0.0000 0.0000 6.4172
```



VASP calculation (PBE-GGA) on a relaxed Nd2MnZn3Pt4 crystal. Values from VASP.

Output
- size of the total moment (μB per formula unit) = 3.9
- electronic total energy (Ha/atom) = -0.198
- E_form (eV per atom) = -0.708
- D(E_F) (states/eV per atom) = 0.46

Cell and atoms, written as Quantum ESPRESSO input:
```
&SYSTEM
  ibrav = 0, nat = 10, ntyp = 4
/
ATOMIC_SPECIES
Nd 144.24 Nd.upf
Mn 54.94 Mn.upf
Zn 65.41 Zn.upf
Pt 195.08 Pt.upf
ATOMIC_POSITIONS angstrom
Nd 0.0000 2.0620 2.7241
Nd 2.0620 0.0000 8.5172
Mn 0.0000 0.0000 5.6207
Zn 0.0000 2.0620 9.7457
Zn 2.0620 0.0000 1.4957
Zn 2.0620 2.0620 5.6207
Pt 0.0000 0.0000 0.0000
Pt 0.0000 2.0620 7.2339
Pt 2.0620 0.0000 4.0074
Pt 2.0620 2.0620 0.0000
CELL_PARAMETERS angstrom
4.1239 0.0000 0.0000
0.0000 4.1239 0.0000
0.0000 0.0000 11.2413
```



Look up the D(E_F) of the first one. 0.37 states/eV per atom



The highest electronic total energy belongs to which entry? RbCd4In2



Look up the electronic total energy of the second one. -0.330 Ha/atom



What is the electronic total energy in the third record? -0.222 Ha/atom